# 1
CaTc5 | PBE | relaxed

E_tot ... -8.612 eV per atom
Excess energy over the best structure of this formula in the dataset ... 0.025 eV per atom
Spin magnetization ... 0.00 μB/f.u.

a = 5.209 Å, b = 5.209 Å, c = 5.209 Å
α = 60.00°, β = 60.00°, γ = 60.00°
Sites, in units of the cell vectors:
Ca (0.000, 0.000, 0.000)
Tc (0.375, 0.375, 0.375)
Tc (0.375, 0.375, 0.875)
Tc (0.375, 0.875, 0.375)
Tc (0.750, 0.750, 0.750)
Tc (0.875, 0.375, 0.375)

# 2
Re2NiPb | PBE | relaxed

E_tot ... -7.939 eV per atom
Spin magnetization ... 0.00 μB/f.u.

a = 2.821 Å, b = 4.402 Å, c = 10.739 Å
α = 90.00°, β = 90.00°, γ = 90.00°
Sites, in units of the cell vectors:
Re (0.000, 0.000, 0.209)
Re (0.000, 0.000, 0.791)
Re (0.500, 0.500, 0.291)
Re (0.500, 0.500, 0.709)
Ni (0.000, 0.500, 0.500)
Ni (0.500, 0.000, 0.000)
Pb (0.000, 0.500, 0.000)
Pb (0.500, 0.000, 0.500)

# 3
Cs8Rb3Pt | PBE | relaxed

E_tot ... -1.300 eV per atom
Spin magnetization ... 0.00 μB/f.u.

a = 15.202 Å, b = 15.202 Å, c = 10.805 Å
α = 90.00°, β = 90.00°, γ = 120.00°
Sites, in units of the cell vectors:
Cs (0.000, 0.000, 0.013)
Cs (0.000, 0.000, 0.513)
Cs (0.076, 0.538, 0.000)
Cs (0.226, 0.451, 0.717)
Cs (0.226, 0.774, 0.717)
Cs (0.333, 0.667, 0.258)
Cs (0.451, 0.226, 0.217)
Cs (0.462, 0.538, 0.000)
Cs (0.462, 0.924, 0.000)
Cs (0.538, 0.076, 0.500)
Cs (0.538, 0.462, 0.500)
Cs (0.549, 0.774, 0.717)
Cs (0.667, 0.333, 0.758)
Cs (0.774, 0.226, 0.217)
Cs (0.774, 0.549, 0.217)
Cs (0.924, 0.462, 0.500)
Rb (0.151, 0.301, 0.267)
Rb (0.151, 0.849, 0.267)
Rb (0.301, 0.151, 0.767)
Rb (0.699, 0.849, 0.267)
Rb (0.849, 0.151, 0.767)
Rb (0.849, 0.699, 0.767)
Pt (0.333, 0.667, 0.917)
Pt (0.667, 0.333, 0.417)

# 4
LiAcPmTc | PBE | relaxed

E_tot ... -5.164 eV per atom
Spin magnetization ... 0.00 μB/f.u.

a = 7.339 Å, b = 7.339 Å, c = 7.339 Å
α = 90.00°, β = 90.00°, γ = 90.00°
Sites, in units of the cell vectors:
Li (0.000, 0.000, 0.000)
Li (0.000, 0.500, 0.500)
Li (0.500, 0.000, 0.500)
Li (0.500, 0.500, 0.000)
Ac (0.250, 0.250, 0.250)
Ac (0.250, 0.750, 0.750)
Ac (0.750, 0.250, 0.750)
Ac (0.750, 0.750, 0.250)
Pm (0.250, 0.250, 0.750)
Pm (0.250, 0.750, 0.250)
Pm (0.750, 0.250, 0.250)
Pm (0.750, 0.750, 0.750)
Tc (0.000, 0.000, 0.500)
Tc (0.000, 0.500, 0.000)
Tc (0.500, 0.000, 0.000)
Tc (0.500, 0.500, 0.500)

# 5
BaU2P4Au | PBE | relaxed

E_tot ... -6.975 eV per atom
Spin magnetization ... 3.01 μB/f.u.

a = 7.056 Å, b = 7.056 Å, c = 13.689 Å
α = 90.00°, β = 90.00°, γ = 145.84°
Sites, in units of the cell vectors:
Ba (0.114, 0.886, 0.750)
Ba (0.886, 0.114, 0.250)
U (0.372, 0.628, 0.559)
U (0.372, 0.628, 0.941)
U (0.628, 0.372, 0.059)
U (0.628, 0.372, 0.441)
P (0.000, 0.000, 0.000)
P (0.000, 0.000, 0.500)
P (0.257, 0.743, 0.100)
P (0.257, 0.743, 0.400)
P (0.440, 0.560, 0.750)
P (0.560, 0.440, 0.250)
P (0.743, 0.257, 0.600)
P (0.743, 0.257, 0.900)
Au (0.159, 0.841, 0.250)
Au (0.841, 0.159, 0.750)

# 6
NbGeB2F | PBE | relaxed

E_tot ... -5.571 eV per atom
E_form (uncorrected) ... 0.412 eV per atom
Spin magnetization ... 0.00 μB/f.u.

a = 4.357 Å, b = 4.357 Å, c = 4.082 Å
α = 90.00°, β = 90.00°, γ = 90.00°
Sites, in units of the cell vectors:
Nb (0.000, 0.000, 0.000)
Ge (0.500, 0.500, 0.500)
B (0.000, 0.500, 0.000)
B (0.500, 0.000, 0.000)
F (0.000, 0.000, 0.500)

# 7
GaSeI3 | PBE | relaxed

E_tot ... -2.508 eV per atom
E_form (uncorrected) ... -0.276 eV per atom
Excess energy over the best structure of this formula in the dataset ... 0.000 eV per atom
Spin magnetization ... 1.00 μB/f.u.

a = 8.302 Å, b = 8.302 Å, c = 16.356 Å
α = 92.82°, β = 92.82°, γ = 111.60°
Sites, in units of the cell vectors:
Ga (0.127, 0.873, 0.750)
Ga (0.141, 0.859, 0.250)
Ga (0.859, 0.141, 0.750)
Ga (0.873, 0.127, 0.250)
Se (0.371, 0.460, 0.967)
Se (0.460, 0.371, 0.467)
Se (0.540, 0.629, 0.533)
Se (0.629, 0.540, 0.033)
I (0.105, 0.667, 0.628)
I (0.123, 0.655, 0.128)
I (0.180, 0.195, 0.700)
I (0.195, 0.180, 0.200)
I (0.333, 0.895, 0.872)
I (0.345, 0.877, 0.372)
I (0.655, 0.123, 0.628)
I (0.667, 0.105, 0.128)
I (0.805, 0.820, 0.800)
I (0.820, 0.805, 0.300)
I (0.877, 0.345, 0.872)
I (0.895, 0.333, 0.372)

# 8
ZnReAu | PBE | relaxed

E_tot ... -4.713 eV per atom
Excess energy over the best structure of this formula in the dataset ... 0.719 eV per atom
Spin magnetization ... 2.09 μB/f.u.

a = 5.966 Å, b = 5.966 Å, c = 5.966 Å
α = 90.00°, β = 90.00°, γ = 90.00°
Sites, in units of the cell vectors:
Zn (0.000, 0.000, 0.000)
Zn (0.000, 0.500, 0.500)
Zn (0.500, 0.000, 0.500)
Zn (0.500, 0.500, 0.000)
Re (0.250, 0.250, 0.250)
Re (0.250, 0.750, 0.750)
Re (0.750, 0.250, 0.750)
Re (0.750, 0.750, 0.250)
Au (0.250, 0.250, 0.750)
Au (0.250, 0.750, 0.250)
Au (0.750, 0.250, 0.250)
Au (0.750, 0.750, 0.750)

# 9
Cu2AgP | PBE | relaxed

E_tot ... -3.937 eV per atom
Spin magnetization ... 0.00 μB/f.u.

a = 7.712 Å, b = 2.857 Å, c = 5.369 Å
α = 90.00°, β = 99.31°, γ = 90.00°
Sites, in units of the cell vectors:
Cu (0.241, 0.000, 0.201)
Cu (0.259, 0.500, 0.799)
Cu (0.741, 0.500, 0.201)
Cu (0.759, 0.000, 0.799)
Ag (0.000, 0.000, 0.500)
Ag (0.500, 0.500, 0.500)
P (0.000, 0.500, 0.000)
P (0.500, 0.000, 0.000)

# 10
La3PmY | PBE | relaxed

E_tot ... -5.152 eV per atom
Excess energy over the best structure of this formula in the dataset ... 0.000 eV per atom
Spin magnetization ... 0.00 μB/f.u.

a = 10.446 Å, b = 10.446 Å, c = 6.763 Å
α = 101.11°, β = 101.11°, γ = 82.33°
Sites, in units of the cell vectors:
La (0.088, 0.717, 0.562)
La (0.111, 0.488, 0.847)
La (0.238, 0.364, 0.350)
La (0.283, 0.912, 0.938)
La (0.364, 0.238, 0.850)
La (0.488, 0.111, 0.347)
La (0.512, 0.889, 0.653)
La (0.636, 0.762, 0.150)
La (0.717, 0.088, 0.062)
La (0.762, 0.636, 0.650)
La (0.889, 0.512, 0.153)
La (0.912, 0.283, 0.438)
Pm (0.309, 0.691, 0.250)
Pm (0.435, 0.565, 0.750)
Pm (0.565, 0.435, 0.250)
Pm (0.691, 0.309, 0.750)
Y (0.031, 0.167, 0.942)
Y (0.167, 0.031, 0.442)
Y (0.833, 0.969, 0.558)
Y (0.969, 0.833, 0.058)

# 11
TlPtI3 | PBE | relaxed

E_tot ... -2.851 eV per atom
E_form (uncorrected) ... -0.239 eV per atom
Excess energy over the best structure of this formula in the dataset ... 0.000 eV per atom
Spin magnetization ... 0.00 μB/f.u.

a = 5.576 Å, b = 5.576 Å, c = 5.576 Å
α = 90.00°, β = 90.00°, γ = 90.00°
Sites, in units of the cell vectors:
Tl (0.000, 0.000, 0.000)
Pt (0.500, 0.500, 0.500)
I (0.000, 0.500, 0.500)
I (0.500, 0.000, 0.500)
I (0.500, 0.500, 0.000)

# 12
LiPa2NiN4 | PBE | relaxed

E_tot ... -8.533 eV per atom
E_form (uncorrected) ... -1.034 eV per atom
Spin magnetization ... 1.00 μB/f.u.

a = 5.527 Å, b = 3.406 Å, c = 5.974 Å
α = 90.00°, β = 112.20°, γ = 90.00°
Sites, in units of the cell vectors:
Li (0.000, 0.000, 0.000)
Pa (0.000, 0.000, 0.500)
Pa (0.500, 0.500, 0.000)
Ni (0.500, 0.500, 0.500)
N (0.065, 0.500, 0.767)
N (0.473, 0.000, 0.726)
N (0.527, 0.000, 0.274)
N (0.935, 0.500, 0.233)